Entry 1:
The following is a DFT calculation (PBE) of a relaxed Sc2Hg2Se crystal.

Geometry as CIF:
```
data_Sc2Hg2Se
_chemical_formula_sum 'Sc4 Hg4 Se2'
_cell_length_a 5.356
_cell_length_b 5.356
_cell_length_c 9.158
_cell_angle_alpha 90.00
_cell_angle_beta 90.00
_cell_angle_gamma 90.00
_symmetry_space_group_name_H-M 'I 4/m m m'
_symmetry_Int_Tables_number 139
_symmetry_space_group_name_Hall '-I 4 2'
loop_
_atom_site_label
_atom_site_fract_x
_atom_site_fract_y
_atom_site_fract_z
Sc1 0.000 0.500 0.250
Hg1 0.000 0.000 0.148
Se1 0.000 0.000 0.500
```



Entry 2:
The following is a DFT calculation (PBE) of a relaxed HgP3Pb crystal.

Geometry as CIF:
```
data_HgP3Pb
_chemical_formula_sum 'Hg1 P3 Pb1'
_cell_length_a 5.041
_cell_length_b 5.041
_cell_length_c 5.041
_cell_angle_alpha 90.00
_cell_angle_beta 90.00
_cell_angle_gamma 90.00
_symmetry_space_group_name_H-M 'P m -3 m'
_symmetry_Int_Tables_number 221
_symmetry_space_group_name_Hall '-P 4 2 3'
loop_
_atom_site_label
_atom_site_fract_x
_atom_site_fract_y
_atom_site_fract_z
Hg1 0.000 0.000 0.000
P1 0.000 0.000 0.500
Pb1 0.500 0.500 0.500
```



Entry 3:
The following is a DFT calculation (PBE) of a relaxed K2CdPt crystal.

Geometry as CIF:
```
data_K2CdPt
_chemical_formula_sum 'K2 Cd1 Pt1'
_cell_length_a 4.974
_cell_length_b 4.680
_cell_length_c 6.484
_cell_angle_alpha 90.00
_cell_angle_beta 112.51
_cell_angle_gamma 90.00
_symmetry_space_group_name_H-M 'P 1 m 1'
_symmetry_Int_Tables_number 6
_symmetry_space_group_name_Hall 'P -2y'
loop_
_atom_site_label
_atom_site_fract_x
_atom_site_fract_y
_atom_site_fract_z
K1 0.000 0.000 0.000
K2 0.291 0.500 0.582
Cd1 0.593 0.500 0.187
Pt1 0.707 0.000 0.412
```



Entry 4:
The following is a DFT calculation (PBE) of a relaxed La4AsBr2Cl crystal.

Geometry as CIF:
```
data_La4AsBr2Cl
_chemical_formula_sum 'La4 As1 Br2 Cl1'
_cell_length_a 7.250
_cell_length_b 4.316
_cell_length_c 7.661
_cell_angle_alpha 90.00
_cell_angle_beta 109.52
_cell_angle_gamma 90.00
_symmetry_space_group_name_H-M 'P 1 2/m 1'
_symmetry_Int_Tables_number 10
_symmetry_space_group_name_Hall '-P 2y'
loop_
_atom_site_label
_atom_site_fract_x
_atom_site_fract_y
_atom_site_fract_z
La1 0.239 0.000 0.225
La2 0.254 0.500 0.773
As1 0.500 0.000 0.000
Br1 0.000 0.000 0.500
Br2 0.500 0.500 0.500
Cl1 0.000 0.500 0.000
```



Entry 5:
The following is a DFT calculation (PBE) of a relaxed Na2BeGePd crystal.

Geometry as CIF:
```
data_Na2BeGePd
_chemical_formula_sum 'Na2 Be1 Ge1 Pd1'
_cell_length_a 5.534
_cell_length_b 5.534
_cell_length_c 4.606
_cell_angle_alpha 90.00
_cell_angle_beta 90.00
_cell_angle_gamma 90.00
_symmetry_space_group_name_H-M 'P 4/m m m'
_symmetry_Int_Tables_number 123
_symmetry_space_group_name_Hall '-P 4 2'
loop_
_atom_site_label
_atom_site_fract_x
_atom_site_fract_y
_atom_site_fract_z
Na1 0.000 0.500 0.000
Be1 0.000 0.000 0.500
Ge1 0.500 0.500 0.000
Pd1 0.500 0.500 0.500
```



Entry 6:
The following is a DFT calculation (PBE) of a relaxed Ca2Cd2Au crystal.

Geometry as CIF:
```
data_Ca2Cd2Au
_chemical_formula_sum 'Ca4 Cd4 Au2'
_cell_length_a 8.045
_cell_length_b 8.045
_cell_length_c 4.581
_cell_angle_alpha 90.00
_cell_angle_beta 90.00
_cell_angle_gamma 90.00
_symmetry_space_group_name_H-M 'P 4/m b m'
_symmetry_Int_Tables_number 127
_symmetry_space_group_name_Hall '-P 4 2ab'
loop_
_atom_site_label
_atom_site_fract_x
_atom_site_fract_y
_atom_site_fract_z
Ca1 0.168 0.332 0.000
Cd1 0.134 0.634 0.500
Au1 0.000 0.000 0.000
```



Entry 7:
The following is a DFT calculation (PBE) of a relaxed LaDyAgPd crystal.

Geometry as CIF:
```
data_LaDyAgPd
_chemical_formula_sum 'La2 Dy2 Ag2 Pd2'
_cell_length_a 4.851
_cell_length_b 3.873
_cell_length_c 10.848
_cell_angle_alpha 90.00
_cell_angle_beta 90.00
_cell_angle_gamma 90.00
_symmetry_space_group_name_H-M 'A m m 2'
_symmetry_Int_Tables_number 38
_symmetry_space_group_name_Hall 'A 2 -2'
loop_
_atom_site_label
_atom_site_fract_x
_atom_site_fract_y
_atom_site_fract_z
La1 0.000 0.000 0.000
Dy1 0.500 0.000 0.278
Ag1 0.500 0.000 0.563
Pd1 0.000 0.000 0.727
```



Entry 8:
The following is a DFT calculation (PBE) of a relaxed BeCr2Tc crystal.

Geometry as CIF:
```
data_BeCr2Tc
_chemical_formula_sum 'Be2 Cr4 Tc2'
_cell_length_a 3.300
_cell_length_b 3.300
_cell_length_c 8.464
_cell_angle_alpha 90.00
_cell_angle_beta 90.00
_cell_angle_gamma 90.00
_symmetry_space_group_name_H-M 'I 4/m m m'
_symmetry_Int_Tables_number 139
_symmetry_space_group_name_Hall '-I 4 2'
loop_
_atom_site_label
_atom_site_fract_x
_atom_site_fract_y
_atom_site_fract_z
Be1 0.000 0.000 0.000
Cr1 0.000 0.500 0.250
Tc1 0.000 0.000 0.500
```



Short version: electronic total energy = -3.371, -2.964, -2.365, -5.152, -2.560, -2.057, -4.938, -8.290 eV/atom, in the order given.